Entry from Alexandria via LeMat-Bulk: an optimized crystal structure of ReMoAu2 (GGA-PBE).

a = 3.4708 Å, b = 3.4708 Å, c = 5.5278 Å
α = 90.00°, β = 90.00°, γ = 90.00°
Last column: nearest neighbours and their distance in Å.
Positions (direct):
Au 0.0000 0.0000 0.9989  2 Au 2.75-2.78, 4 Re 2.81, 4 Mo 2.82
Au 0.0000 0.0000 0.5011  2 Au 2.75-2.78, 4 Re 2.81, 4 Mo 2.82
Mo 0.5000 0.5000 0.2500  2 Re 2.76, 8 Au 2.82
Re 0.5000 0.5000 0.7500  2 Mo 2.76, 8 Au 2.81

Computed properties:
M_tot in μB per atom: 0.000
Energy of formation in eV per atom: 0.652
DFT total energy in eV/atom: -6.806